1.
The following is a PBE with a Hubbard U calculation of a relaxed structure of K3Li2VF8, from the Alexandria database.

Unit cell a=5.741 b=5.741 c=7.573 alpha=90.00 beta=90.00 gamma=120.00
Each line ends with the local moment (μB).
Sites, in units of the cell vectors:
K  0.333  0.667  0.673  0.00
K  0.667  0.333  0.327  0.00
K  0.000  0.000  0.000  0.00
Li  0.333  0.667  0.227  0.00
Li  0.667  0.333  0.773  0.00
V  0.000  0.000  0.500  1.90
F  0.333  0.667  0.995  0.00
F  0.667  0.333  0.005  0.00
F  0.161  0.839  0.347  0.00
F  0.839  0.161  0.653  0.00
F  0.161  0.322  0.347  0.00
F  0.839  0.678  0.653  0.00
F  0.678  0.839  0.347  0.00
F  0.322  0.161  0.653  0.00

VASP energy	-4.97	eV per atom
N(E_F)	0.000	states/eV per atom

2.
The following is a PBE with a Hubbard U calculation of a relaxed structure of K3Li2VF9, from the Alexandria database.

Unit cell a=5.830 b=5.830 c=7.316 alpha=90.00 beta=90.00 gamma=120.00
Each line ends with the local moment (μB).
Sites, in units of the cell vectors:
K  0.333  0.667  0.708  0.00
K  0.000  0.000  0.000  0.00
K  0.667  0.333  0.292  0.00
Li  0.333  0.667  0.111  0.00
Li  0.667  0.333  0.889  0.00
V  0.000  0.000  0.500  0.94
F  0.846  0.154  0.645  0.00
F  0.846  0.693  0.645  0.00
F  0.307  0.154  0.645  0.00
F  0.693  0.846  0.355  0.00
F  0.154  0.307  0.355  0.00
F  0.154  0.846  0.355  0.00
F  0.500  0.000  0.000  0.00
F  0.000  0.500  0.000  0.00
F  0.500  0.500  0.000  0.00

VASP energy	-4.95	eV per atom
N(E_F)	0.000	states/eV per atom

3.
The following is a PBE with a Hubbard U calculation of a relaxed structure of K3Li2VF6, from the Alexandria database.

Unit cell a=5.901 b=5.901 c=7.267 alpha=90.00 beta=90.00 gamma=120.00
Each line ends with the local moment (μB).
Sites, in units of the cell vectors:
K  0.333  0.667  0.649  0.01
K  0.667  0.333  0.351  0.01
K  0.000  0.000  0.000  0.01
Li  0.667  0.333  0.766  0.01
Li  0.333  0.667  0.234  0.01
V  0.000  0.000  0.500  2.75
F  0.669  0.834  0.324  0.01
F  0.166  0.331  0.324  0.01
F  0.166  0.834  0.324  0.01
F  0.834  0.669  0.676  0.01
F  0.331  0.166  0.676  0.01
F  0.834  0.166  0.676  0.01

VASP energy	-4.67	eV per atom
N(E_F)	0.108	states/eV per atom

4.
The following is a PBE with a Hubbard U calculation of a relaxed structure of K3LiV2F9, from the Alexandria database.

Unit cell a=5.830 b=5.830 c=7.146 alpha=90.00 beta=90.00 gamma=120.00
Each line ends with the local moment (μB).
Sites, in units of the cell vectors:
K  0.333  0.667  0.647  0.00
K  0.000  0.000  0.000  0.00
K  0.667  0.333  0.353  0.00
Li  0.000  0.000  0.500  0.00
V  0.333  0.667  0.169  2.35
V  0.667  0.333  0.831  2.35
F  0.831  0.169  0.673  0.00
F  0.831  0.662  0.673  0.00
F  0.338  0.169  0.673  0.00
F  0.662  0.831  0.327  0.00
F  0.169  0.338  0.327  0.00
F  0.169  0.831  0.327  0.00
F  0.500  0.000  0.000  0.00
F  0.000  0.500  0.000  0.00
F  0.500  0.500  0.000  0.00

VASP energy	-5.31	eV per atom
N(E_F)	0.526	states/eV per atom